Compound: PdIBr
Source: OQMD via LeMat-Bulk
Functional: PBE
Structure: optimized geometry

Unit cell a=6.680 b=8.574 c=6.856 alpha=90.00 beta=104.68 gamma=90.00
Fractional positions:
Br: 0.489 0.922 0.724
I: 0.950 0.833 0.241
I: 0.050 0.167 0.759
Pd: 0.274 0.124 0.499
Br: 0.489 0.578 0.224
Pd: 0.726 0.876 0.501
I: 0.950 0.667 0.741
Pd: 0.274 0.376 0.999
Pd: 0.726 0.624 0.001
Br: 0.511 0.422 0.776
Br: 0.511 0.078 0.276
I: 0.050 0.333 0.259

E_tot in eV per atom: -3.08

---

Compound: Pd2I5Br
Source: OQMD via LeMat-Bulk
Functional: PBE
Structure: optimized geometry

Unit cell a=6.503 b=6.972 c=6.972 alpha=119.69 beta=90.00 gamma=90.00
Fractional positions:
I: 0.000 0.329 0.011
Pd: 0.250 0.002 0.002
I: 0.500 0.996 0.675
I: 0.500 0.675 0.996
Br: 0.500 0.291 0.291
I: 0.000 0.011 0.329
I: 0.000 0.694 0.694
Pd: 0.750 0.002 0.002

E_tot in eV per atom: -2.58

---

Compound: Pd2I3Br3
Source: OQMD via LeMat-Bulk
Functional: PBE
Structure: optimized geometry

Unit cell a=6.789 b=6.386 c=6.807 alpha=90.00 beta=119.58 gamma=90.00
Fractional positions:
I: 0.663 0.000 0.665
Br: 0.710 0.500 0.005
Pd: 0.000 0.750 0.998
I: 0.340 0.500 0.329
Br: 0.291 0.000 0.992
Br: 0.013 0.500 0.702
I: 0.981 0.000 0.311
Pd: 0.000 0.250 0.998

E_tot in eV per atom: -2.64

---

Compound: Pd2I3Br3
Source: OQMD via LeMat-Bulk
Functional: PBE
Structure: optimized geometry

Unit cell a=6.361 b=6.933 c=6.933 alpha=120.04 beta=90.00 gamma=90.00
Fractional positions:
Br: 0.500 0.306 0.007
I: 0.000 0.685 0.006
I: 0.500 0.687 0.687
I: 0.000 0.006 0.685
Pd: 0.750 0.003 0.003
Br: 0.000 0.302 0.302
Br: 0.500 0.007 0.306
Pd: 0.250 0.003 0.003

E_tot in eV per atom: -2.64

---

Compound: PdS2I2Br4
Source: OQMD via LeMat-Bulk
Functional: PBE
Structure: optimized geometry

Unit cell a=5.068 b=7.148 c=9.042 alpha=103.56 beta=96.95 gamma=95.57
Fractional positions:
Pd: 0.000 0.000 0.000
S: 0.262 0.241 0.197
Br: 0.967 0.503 0.802
Br: 0.726 0.840 0.158
I: 0.248 0.189 0.453
I: 0.752 0.811 0.547
S: 0.738 0.759 0.803
Br: 0.033 0.497 0.198
Br: 0.274 0.160 0.842

E_tot in eV per atom: -2.64

---

Compound: PdS2I4Br2
Source: OQMD via LeMat-Bulk
Functional: PBE
Structure: optimized geometry

Unit cell a=5.218 b=7.376 c=8.972 alpha=102.21 beta=97.77 gamma=95.98
Fractional positions:
I: 0.242 0.189 0.467
I: 0.302 0.172 0.838
S: 0.755 0.766 0.798
S: 0.245 0.234 0.202
Br: 0.016 0.479 0.198
I: 0.758 0.811 0.533
I: 0.698 0.828 0.162
Pd: 0.000 0.000 0.000
Br: 0.984 0.521 0.802

E_tot in eV per atom: -2.57

---

Compound: Tl2PdI2Br2
Source: OQMD via LeMat-Bulk
Functional: PBE
Structure: optimized geometry

Unit cell a=4.482 b=7.715 c=7.700 alpha=90.00 beta=90.00 gamma=90.00
Fractional positions:
Br: 0.000 0.770 0.233
Tl: 0.500 0.000 0.479
Br: 0.000 0.230 0.233
I: 0.000 0.761 0.764
Tl: 0.500 0.500 0.022
I: 0.000 0.239 0.764
Pd: 0.000 0.000 0.004

E_tot in eV per atom: -2.89

---

Compound: Zr2PdI6Br2
Source: OQMD via LeMat-Bulk
Functional: PBE
Structure: optimized geometry

Unit cell a=8.557 b=8.557 c=7.560 alpha=94.09 beta=94.09 gamma=71.40
Fractional positions:
I: 0.340 0.885 0.153
Pd: 0.000 0.000 0.000
I: 0.115 0.660 0.847
I: 0.660 0.115 0.847
Br: 0.144 0.144 0.632
I: 0.885 0.340 0.153
Zr: 0.179 0.179 0.313
I: 0.374 0.374 0.300
I: 0.626 0.626 0.700
Zr: 0.821 0.821 0.687
Br: 0.856 0.856 0.368

E_tot in eV per atom: -3.97

---

Compound: Pm3I4Br2
Source: OQMD via LeMat-Bulk
Functional: PBE
Structure: optimized geometry

Unit cell a=4.119 b=4.119 c=24.919 alpha=90.00 beta=90.00 gamma=120.00
Site moments in Bohr magnetons follow the coordinates.
Fractional positions:
Pm: 0.333 0.667 0.979  0.45
Br: 0.000 0.000 0.905  0.01
I: 0.000 0.000 0.405  0.01
I: 0.333 0.667 0.574  0.01
Pm: 0.000 0.000 0.658  0.43
I: 0.333 0.667 0.742  0.01
I: 0.000 0.000 0.237  0.01
Pm: 0.333 0.667 0.321  0.43
Br: 0.000 0.000 0.053  0.01

E_tot in eV per atom: -4.08

---

Compound: PrI2Br
Source: OQMD via LeMat-Bulk
Functional: PBE
Structure: optimized geometry

Unit cell a=8.308 b=4.554 c=8.538 alpha=90.00 beta=116.22 gamma=90.00
Fractional positions:
Br: 0.180 0.250 0.583
Pr: 0.161 0.750 0.334
I: 0.425 0.250 0.293
Br: 0.820 0.750 0.417
I: 0.125 0.750 0.908
I: 0.875 0.250 0.092
I: 0.575 0.750 0.707
Pr: 0.839 0.250 0.666

E_tot in eV per atom: -3.94

---

Compound: Pr2I5Br
Source: OQMD via LeMat-Bulk
Functional: PBE
Structure: optimized geometry

Unit cell a=8.864 b=4.466 c=8.991 alpha=90.00 beta=119.16 gamma=90.00
Fractional positions:
Pr: 0.668 0.500 0.347
I: 0.300 0.500 0.395
I: 0.086 0.500 0.711
I: 0.618 0.500 0.897
Br: 0.693 0.000 0.585
I: 0.391 0.000 0.092
I: 0.909 0.000 0.300
Pr: 0.334 0.000 0.674

E_tot in eV per atom: -3.84

---

Compound: PtIBr
Source: OQMD via LeMat-Bulk
Functional: PBE
Structure: optimized geometry

Unit cell a=6.407 b=8.616 c=6.754 alpha=90.00 beta=102.73 gamma=90.00
Fractional positions:
Pt: 0.234 0.124 0.998
Br: 0.991 0.072 0.230
I: 0.535 0.671 0.766
I: 0.465 0.171 0.734
Br: 0.009 0.928 0.770
Pt: 0.234 0.376 0.498
I: 0.465 0.329 0.234
Br: 0.991 0.428 0.730
Pt: 0.766 0.624 0.502
Pt: 0.766 0.876 0.002
I: 0.535 0.829 0.266
Br: 0.009 0.572 0.270

E_tot in eV per atom: -3.26

---

Compound: PuI2Br2
Source: OQMD via LeMat-Bulk
Functional: PBE
Structure: optimized geometry

Unit cell a=8.383 b=8.383 c=8.383 alpha=115.94 beta=112.41 gamma=100.45
Site moments in Bohr magnetons follow the coordinates.
Fractional positions:
I: 0.806 0.306 0.500  -0.12
Br: 0.715 0.238 0.953  -0.15
I: 0.194 0.694 0.500  -0.12
Pu: 0.000 0.753 0.753  4.64
I: 0.799 0.799 0.000  -0.12
Br: 0.285 0.238 0.524  -0.15
Br: 0.285 0.762 0.047  -0.15
Pu: 0.000 0.247 0.247  4.64
I: 0.201 0.201 0.000  -0.12
Br: 0.715 0.762 0.476  -0.15

E_tot in eV per atom: -5.19

---

Compound: Pu3I7Br
Source: OQMD via LeMat-Bulk
Functional: PBE
Structure: optimized geometry

Unit cell a=8.957 b=8.957 c=7.383 alpha=90.00 beta=90.00 gamma=120.00
Site moments in Bohr magnetons follow the coordinates.
Fractional positions:
I: 0.992 0.496 0.458  -0.06
I: 0.163 0.326 0.980  -0.06
I: 0.163 0.837 0.980  -0.06
I: 0.504 0.008 0.458  -0.06
Pu: 0.835 0.165 0.222  5.36
I: 0.667 0.333 0.975  -0.06
Br: 0.000 0.000 0.431  -0.05
I: 0.504 0.496 0.458  -0.06
Pu: 0.835 0.670 0.222  5.39
I: 0.674 0.837 0.980  -0.07
Pu: 0.330 0.165 0.222  5.33

E_tot in eV per atom: -6.20

---

Compound: PuSe2IBr
Source: OQMD via LeMat-Bulk
Functional: PBE
Structure: optimized geometry

Unit cell a=7.456 b=7.498 c=8.136 alpha=68.29 beta=68.25 gamma=61.37
Site moments in Bohr magnetons follow the coordinates.
Fractional positions:
Se: 0.920 0.942 0.297  -0.19
Se: 0.030 0.759 0.894  -0.19
Se: 0.970 0.241 0.106  -0.19
Br: 0.469 0.169 0.768  -0.09
Pu: 0.700 0.142 0.000  4.74
I: 0.327 0.419 0.257  -0.11
Br: 0.531 0.831 0.232  -0.09
Se: 0.080 0.058 0.703  -0.19
Pu: 0.300 0.858 0.000  4.74
I: 0.673 0.581 0.743  -0.11

E_tot in eV per atom: -5.85

---

Compound: Tb2S2IBr
Source: OQMD via LeMat-Bulk
Functional: PBE
Structure: optimized geometry

Unit cell a=4.150 b=5.396 c=9.088 alpha=90.00 beta=90.00 gamma=90.00
Fractional positions:
S: 0.000 0.000 0.932
S: 0.500 0.500 0.077
Tb: 0.000 0.500 0.879
Br: 0.000 0.000 0.348
Tb: 0.500 0.000 0.132
I: 0.500 0.500 0.631

E_tot in eV per atom: -5.37

---

Compound: Tm2S2IBr
Source: OQMD via LeMat-Bulk
Functional: PBE
Structure: optimized geometry

Unit cell a=4.047 b=5.316 c=9.061 alpha=90.00 beta=90.00 gamma=90.00
Fractional positions:
S: 0.500 0.500 0.072
Tm: 0.000 0.500 0.872
Tm: 0.500 0.000 0.117
I: 0.000 0.000 0.362
S: 0.000 0.000 0.919
Br: 0.500 0.500 0.659

E_tot in eV per atom: -5.31

---

Compound: Zr2S2IBr
Source: OQMD via LeMat-Bulk
Functional: PBE
Structure: optimized geometry

Unit cell a=3.788 b=5.093 c=9.221 alpha=90.00 beta=90.00 gamma=90.00
Fractional positions:
S: 0.000 0.500 0.103
Zr: 0.500 0.500 0.909
Zr: 0.000 0.000 0.082
S: 0.500 0.000 0.888
Br: 0.000 0.500 0.691
I: 0.500 0.000 0.327

E_tot in eV per atom: -6.19

---

Compound: ZrSe2IBr
Source: OQMD via LeMat-Bulk
Functional: PBE
Structure: optimized geometry

Unit cell a=7.115 b=7.185 c=7.835 alpha=69.04 beta=69.71 gamma=61.96
Fractional positions:
Br: 0.837 0.518 0.222
Se: 0.938 0.920 0.303
Se: 0.747 0.029 0.898
I: 0.413 0.347 0.247
I: 0.587 0.653 0.753
Zr: 0.130 0.722 0.000
Se: 0.062 0.080 0.697
Br: 0.163 0.482 0.778
Zr: 0.870 0.278 0.000
Se: 0.253 0.971 0.102

E_tot in eV per atom: -4.75

---

Compound: TaI4Br
Source: OQMD via LeMat-Bulk
Functional: PBE
Structure: optimized geometry

Unit cell a=7.435 b=7.903 c=10.589 alpha=110.18 beta=90.03 gamma=116.24
Fractional positions:
I: 0.701 0.992 0.751
I: 0.768 0.820 0.043
Br: 0.935 0.180 0.418
Ta: 0.103 0.220 0.223
I: 0.232 0.180 0.957
I: 0.299 0.008 0.249
Ta: 0.897 0.780 0.777
Br: 0.065 0.820 0.582
I: 0.562 0.422 0.666
I: 0.118 0.616 0.843
I: 0.882 0.384 0.157
I: 0.438 0.578 0.334

E_tot in eV per atom: -3.81